(1)
DFT (GGA-PBE) results for Dy12Cu5Bi after structural relaxation.

Size of the total moment = 0.0000 μB per atom
Density of states at the Fermi level = 15.27 states/eV/f.u.
Energy of formation from the pure elements = -22 kJ per mole of atoms
Density = 8.80 g/cm3

Unit cell a=8.4804 b=8.4804 c=8.4804 alpha=112.74 beta=110.80 gamma=104.98
Closest atoms and distances in Å follow each position.
Fractional coordinates of all 18 atoms:
Dy  0.0306  0.2228  0.8077  2 Cu 2.80-2.95
Dy  0.1797  0.2795  0.4592  4 Cu 2.96-3.14
Dy  0.1797  0.7205  0.9002  4 Cu 2.96-3.14
Dy  0.3167  0.0082  0.6915  3 Cu 2.73-2.95
Dy  0.3167  0.6252  0.3085  3 Cu 2.73-2.95
Dy  0.4151  0.2228  0.1923  2 Cu 2.80-2.95
Dy  0.5849  0.7772  0.8077  2 Cu 2.80-2.95
Dy  0.6833  0.3748  0.6915  3 Cu 2.73-2.95
Dy  0.6833  0.9918  0.3085  3 Cu 2.73-2.95
Dy  0.8203  0.2795  0.0998  4 Cu 2.96-3.14
Dy  0.8203  0.7205  0.5408  4 Cu 2.96-3.14
Dy  0.9694  0.7772  0.1923  2 Cu 2.80-2.95
Cu  0.0000  0.0000  0.0000  8 Dy 2.95-3.14
Cu  0.1183  0.6183  0.5000  1 Cu 2.44, 2 Dy 2.73
Cu  0.3570  0.0000  0.3570  1 Cu 2.75, 6 Dy 2.80-2.95
Cu  0.6430  0.0000  0.6430  1 Cu 2.75, 6 Dy 2.80-2.95
Cu  0.8817  0.3817  0.5000  1 Cu 2.44, 2 Dy 2.73
Bi  0.5000  0.5000  0.0000  12 Dy 3.41-3.72



(2)
DFT (GGA-PBE) results for Sr4Nb3PO14 after structural relaxation.

Size of the total moment = 0.0000 μB per atom
Density of states at the Fermi level = 0.00 states/eV/f.u.
Energy relative to the elements, uncorrected = -61.56 eV/f.u.
Density = 4.66 g/cm3

Unit cell a=4.1360 b=5.7618 c=13.3761 alpha=94.89 beta=97.48 gamma=91.12
Closest atoms and distances in Å follow each position.
Fractional coordinates of all 22 atoms:
Sr  0.0000  0.0000  0.0000  6 O 2.51-2.72
Sr  0.1244  0.5591  0.2404  9 O 2.61-2.82
Sr  0.2746  0.1050  0.5574  6 O 2.48-2.64
Sr  0.8154  0.6506  0.7338  5 O 2.45-2.70
Nb  0.5197  0.4898  0.0163  3 O 1.84-1.96
Nb  0.6044  0.0442  0.2362  4 O 1.89-2.01
Nb  0.7552  0.5908  0.4584  3 O 1.86-1.96
P  0.2793  0.1385  0.7942  4 O 1.53-1.59
O  0.0528  0.4673  0.0280  1 Nb 1.96
O  0.1328  0.0209  0.2221  1 Nb 1.94
O  0.2160  0.5827  0.4376  1 Nb 1.96
O  0.2999  0.3557  0.7332  1 P 1.56
O  0.3676  0.9232  0.7254  1 P 1.56
O  0.4675  0.1951  0.9056  1 P 1.59
O  0.5461  0.6947  0.9190  1 Nb 1.84
O  0.5955  0.1950  0.1062  2 Nb 2.01-2.17
O  0.5950  0.7129  0.1345  1 Nb 1.94
O  0.6654  0.3299  0.3186  1 Nb 1.89
O  0.6772  0.8142  0.3351  2 Nb 1.95-2.17
O  0.7607  0.3552  0.5468  1 Nb 1.87
O  0.7736  0.8413  0.5564  1 Nb 1.86
O  0.9376  0.0746  0.8167  1 P 1.53



(3)
DFT (GGA-PBE) results for Be3WBr after structural relaxation.

Size of the total moment = 0.0000 μB per atom
Density of states at the Fermi level = 3.78 states/eV/f.u.
Energy relative to the elements, uncorrected = 9.02 eV/f.u.
Density = 6.60 g/cm3

Unit cell a=4.1827 b=4.1827 c=4.1827 alpha=90.00 beta=90.00 gamma=90.00
Closest atoms and distances in Å follow each position.
Fractional coordinates of all 5 atoms:
Be  0.0000  0.0000  0.5000  2 Br 2.09
Be  0.0000  0.5000  0.0000  2 Br 2.09
Be  0.5000  0.0000  0.0000  2 Br 2.09
W  0.5000  0.5000  0.5000  12 Be 2.96
Br  0.0000  0.0000  0.0000  6 Be 2.09



> What is the formula in the third record?

Be3WBr



> Which value of density does entry 1 give?

8.80 g/cm3